No. 1
Density functional theory data (GGA-PBE) for crystalline K4AlIn4 at its relaxed geometry.

Cell lengths 9.547, 9.547, 9.547 Å; angles 141.05, 141.05, 56.27 degrees
Sites, in units of the cell vectors:
K 0.061 0.604 0.000
K 0.396 0.396 0.457
K 0.604 0.061 0.000
K 0.939 0.939 0.543
Al 0.000 0.000 0.000
In 0.242 0.242 0.593
In 0.351 0.758 0.000
In 0.649 0.649 0.407
In 0.758 0.351 0.000

The calculated formation energy is 0.034 eV per atom. The calculation puts the density of states at the Fermi level at 4.05 states/eV/f.u. For the total magnetization, the calculation gives 0.000 μB per formula unit.

=====

No. 2
Density functional theory data (GGA-PBE) for crystalline KAl2In2 at its relaxed geometry.

Cell lengths 8.674, 8.674, 3.401 Å; angles 90.00, 90.00, 90.00 degrees
Sites, in units of the cell vectors:
K 0.000 0.000 0.000
K 0.500 0.500 0.000
Al 0.123 0.377 0.000
Al 0.377 0.877 0.000
Al 0.623 0.123 0.000
Al 0.877 0.623 0.000
In 0.164 0.664 0.500
In 0.336 0.164 0.500
In 0.664 0.836 0.500
In 0.836 0.336 0.500

As for the energy above the most stable polymorph in this dataset: 0.57 eV per formula unit. The calculated formation energy is 0.107 eV per atom. The calculation puts the density of states at the Fermi level at 2.33 states/eV/f.u. For the total magnetization, the calculation gives 0.000 μB per formula unit.